Here is a relaxed structure of TaFeO3 from the Alexandria database. Energies are from GGA+U.

## Properties
Uncorrected energy: -34.720 eV/f.u.
Calculated volume: 48.27 Å³ per cell

Cell: 3.641 3.641 3.641 Å, 90.00 90.00 90.00°
Atoms (fractional coordinates):
Fe 0.000 0.000 0.000
O 0.000 0.500 0.000
O 0.000 0.000 0.500
O 0.500 0.000 0.000
Ta 0.500 0.500 0.500